Version P
A relaxed structure of BePHCl2. Source: the Alexandria database, functional PBE.

```
BePHCl2
1.0
4.812 0.000 0.000
0.000 4.812 0.000
0.000 0.000 3.260
Be P H Cl
1 1 1 2
Cartesian
0.000 0.000 0.000
2.406 2.406 0.000
2.406 2.406 1.630
0.000 2.406 1.630
2.406 0.000 1.630
```

For the density of states at the Fermi level, the calculation gives 2.4 states/eV/f.u. The calculation puts the magnetic moment at 0.000 μB/f.u. As for the space group: P4/mmm.

=====

Version Q
A relaxed structure of BePHCl2. Source: the Alexandria database, functional PBE.

```
BePHCl2
1.0
4.674 0.000 0.000
0.000 4.674 0.000
0.000 0.000 4.232
Be P H Cl
1 1 1 2
Cartesian
0.000 0.000 0.000
0.000 0.000 2.116
2.337 2.337 2.116
0.000 2.337 0.000
2.337 0.000 0.000
```

For the density of states at the Fermi level, the calculation gives 2.6 states/eV/f.u. The calculation puts the magnetic moment at 1.766 μB/f.u. As for the space group: P4/mmm.

=====

Least stable of them? version P.

=====

Version P
A relaxed structure of BeP2HCl. Source: the Alexandria database, functional PBE.

```
BeP2HCl
1.0
3.447 0.000 0.000
0.000 3.447 0.000
0.000 0.000 6.341
Be P H Cl
1 2 1 1
Cartesian
0.000 0.000 0.000
0.000 1.724 3.171
1.724 0.000 3.171
1.724 1.724 3.171
1.724 1.724 0.000
```

For the density of states at the Fermi level, the calculation gives 1.4 states/eV/f.u. The calculation puts the magnetic moment at 0.000 μB/f.u. As for the space group: P4/mmm.

=====

Version Q
A relaxed structure of BeP2HCl. Source: the Alexandria database, functional PBE.

```
BeP2HCl
1.0
4.185 0.000 0.000
0.000 4.185 0.000
0.000 0.000 4.921
Be P H Cl
1 2 1 1
Cartesian
0.000 0.000 0.000
0.000 2.093 0.000
2.093 0.000 0.000
2.093 2.093 2.460
0.000 0.000 2.460
```

For the density of states at the Fermi level, the calculation gives 3.8 states/eV/f.u. The calculation puts the magnetic moment at 0.670 μB/f.u. As for the space group: P4/mmm.

=====

Least stable of them? version Q.